# PBE-GGA Ho3Si7Ni2, relaxed
# N(E_F)	3.68	states/eV/cell
# formation energy (no corrections)	-0.651	eV per atom
# symmetry	P2/m, No. 10
data_Ho3Si7Ni2
_cell_length_a 4.022
_cell_length_b 4.039
_cell_length_c 12.387
_cell_angle_alpha 98.69
_cell_angle_beta 90.00
_cell_angle_gamma 90.00
_space_group_name_H-M_alt 'P 1'
_space_group_IT_number 1
loop_
_space_group_symop_operation_xyz
'x,y,z'
loop_
_atom_site_label
_atom_site_fract_x
_atom_site_fract_y
_atom_site_fract_z
_atom_site_occupancy
Si1 0.500 0.090 0.176 1
Si2 0.000 0.359 0.825 1
Ho1 0.500 0.500 0.000 1
Si3 0.000 0.000 0.000 1
Ho2 0.000 0.192 0.368 1
Si4 0.000 0.641 0.175 1
Ni1 0.500 0.625 0.260 1
Si5 0.500 0.726 0.446 1
Ni2 0.500 0.375 0.740 1
Si6 0.500 0.910 0.824 1
Ho3 0.000 0.808 0.632 1
Si7 0.500 0.274 0.554 1